Entry 1:
# AlCl3 | the Alexandria database | PBE | optimized geometry
# Fermi-level density of states = 0.3780 states/eV/atom
data_AlCl3
_symmetry_space_group_name_H-M 'P 4/m m m'
_symmetry_Int_Tables_number 123
_symmetry_space_group_name_Hall '-P 4 2'
_cell_length_a 3.186
_cell_length_b 3.186
_cell_length_c 8.487
_cell_angle_alpha 90.00
_cell_angle_beta 90.00
_cell_angle_gamma 90.00
loop_
_atom_site_label
_atom_site_type_symbol
_atom_site_fract_x
_atom_site_fract_y
_atom_site_fract_z
Al1 Al 0.000 0.000 0.000
Cl1 Cl 0.000 0.000 0.500
Cl2 Cl 0.500 0.500 0.173


Entry 2:
# AlCl4 | the Alexandria database | PBE | optimized geometry
# Fermi-level density of states = 1.0071 states/eV/atom
data_AlCl4
_symmetry_space_group_name_H-M 'P m -3 m'
_symmetry_Int_Tables_number 221
_symmetry_space_group_name_Hall '-P 4 2 3'
_cell_length_a 4.742
_cell_length_b 4.742
_cell_length_c 4.742
_cell_angle_alpha 90.00
_cell_angle_beta 90.00
_cell_angle_gamma 90.00
loop_
_atom_site_label
_atom_site_type_symbol
_atom_site_fract_x
_atom_site_fract_y
_atom_site_fract_z
Al1 Al 0.000 0.000 0.000
Cl1 Cl 0.000 0.000 0.500
Cl2 Cl 0.500 0.500 0.500


Entry 3:
# Al3Cl | the Alexandria database | PBE | optimized geometry
# Fermi-level density of states = 0.2681 states/eV/atom
# offset from the most stable computed form = 0 meV/atom
data_Al3Cl
_symmetry_space_group_name_H-M 'C m c m'
_symmetry_Int_Tables_number 63
_symmetry_space_group_name_Hall '-C 2c 2'
_cell_length_a 7.621
_cell_length_b 8.027
_cell_length_c 5.294
_cell_angle_alpha 90.00
_cell_angle_beta 90.00
_cell_angle_gamma 90.00
loop_
_atom_site_label
_atom_site_type_symbol
_atom_site_fract_x
_atom_site_fract_y
_atom_site_fract_z
Al1 Al 0.000 0.087 0.250
Al2 Al 0.205 0.200 0.750
Cl1 Cl 0.000 0.415 0.750


Entry 4:
# Al3Cl | the Alexandria database | PBE | optimized geometry
# Fermi-level density of states = 0.3957 states/eV/atom
# offset from the most stable computed form = 13 meV/atom
data_Al3Cl
_symmetry_space_group_name_H-M 'P m m n'
_symmetry_Int_Tables_number 59
_cell_length_a 4.800
_cell_length_b 11.409
_cell_length_c 2.867
_cell_angle_alpha 90.00
_cell_angle_beta 90.00
_cell_angle_gamma 90.00
loop_
_symmetry_equiv_pos_as_xyz
'x,y,z'
'-x,-y,-z'
'-x+1/2,-y+1/2,z'
'x+1/2,y+1/2,-z'
'x+1/2,-y,-z'
'-x+1/2,y,z'
'-x,y+1/2,-z'
'x,-y+1/2,z'
loop_
_atom_site_label
_atom_site_type_symbol
_atom_site_fract_x
_atom_site_fract_y
_atom_site_fract_z
Al1 Al 0.250 0.035 0.250
Al2 Al 0.250 0.250 0.748
Cl1 Cl 0.250 0.750 0.248


Entry 5:
# AlCl3 | the Alexandria database | PBE | optimized geometry
# Fermi-level density of states = 1.5089 states/eV/atom
data_AlCl3
_symmetry_space_group_name_H-M 'R -3 m'
_symmetry_Int_Tables_number 166
_symmetry_space_group_name_Hall '-R 3 2"'
_cell_length_a 3.5393
_cell_length_b 3.5393
_cell_length_c 26.9142
_cell_angle_alpha 90.00
_cell_angle_beta 90.00
_cell_angle_gamma 120.00
loop_
_atom_site_label
_atom_site_type_symbol
_atom_site_fract_x
_atom_site_fract_y
_atom_site_fract_z
Al1 Al 0.0000 0.0000 0.0000
Cl1 Cl 0.0000 0.0000 0.3844
Cl2 Cl 0.0000 0.0000 0.5000


Entry 6:
# AlCl2 | the Alexandria database | PBE | optimized geometry
# Fermi-level density of states = 0.3322 states/eV/atom
data_AlCl2
_symmetry_space_group_name_H-M 'C m c m'
_symmetry_Int_Tables_number 63
_symmetry_space_group_name_Hall '-C 2c 2'
_cell_length_a 3.499
_cell_length_b 23.887
_cell_length_c 4.593
_cell_angle_alpha 90.00
_cell_angle_beta 90.00
_cell_angle_gamma 90.00
loop_
_atom_site_label
_atom_site_type_symbol
_atom_site_fract_x
_atom_site_fract_y
_atom_site_fract_z
Al1 Al 0.000 0.144 0.250
Cl1 Cl 0.000 0.172 0.750
Cl2 Cl 0.000 0.423 0.750


Entry 7:
Material: AlCl2
Method: DFT, PBE
State: optimized geometry

Cell and atoms, written as CIF:
```
data_AlCl2
_symmetry_space_group_name_H-M 'C 1 m 1'
_symmetry_Int_Tables_number 8
_cell_length_a 14.898
_cell_length_b 3.177
_cell_length_c 8.596
_cell_angle_alpha 90.00
_cell_angle_beta 101.47
_cell_angle_gamma 90.00
loop_
_symmetry_equiv_pos_as_xyz
'x,y,z'
'x,-y,z'
'x+1/2,y+1/2,z'
'x+1/2,-y+1/2,z'
loop_
_atom_site_label
_atom_site_type_symbol
_atom_site_fract_x
_atom_site_fract_y
_atom_site_fract_z
Al1 Al 0.000 0.000 0.000
Al2 Al 0.239 0.000 0.540
Cl1 Cl 0.052 0.500 0.205
Cl2 Cl 0.067 0.500 0.853
Cl3 Cl 0.344 0.500 0.463
Cl4 Cl 0.377 0.000 0.945
```


Entry 8:
# Al5Cl3 | the Alexandria database | PBE | optimized geometry
# Fermi-level density of states = 0.0002 states/eV/atom
# offset from the most stable computed form = 0 meV/atom
data_Al5Cl3
_symmetry_space_group_name_H-M 'F m m 2'
_symmetry_Int_Tables_number 42
_symmetry_space_group_name_Hall 'F 2 -2'
_cell_length_a 4.909
_cell_length_b 22.896
_cell_length_c 21.040
_cell_angle_alpha 90.00
_cell_angle_beta 90.00
_cell_angle_gamma 90.00
loop_
_atom_site_label
_atom_site_type_symbol
_atom_site_fract_x
_atom_site_fract_y
_atom_site_fract_z
Al1 Al 0.000 0.066 0.000
Al2 Al 0.000 0.067 0.808
Al3 Al 0.000 0.093 0.337
Al4 Al 0.000 0.111 0.502
Al5 Al 0.248 0.000 0.405
Cl1 Cl 0.000 0.000 0.084
Cl2 Cl 0.000 0.000 0.724
Cl3 Cl 0.000 0.169 0.407
Cl4 Cl 0.000 0.174 0.578


Entry 9:
# AlCl2 | the Alexandria database | PBE | optimized geometry
# Fermi-level density of states = 0.4971 states/eV/atom
data_AlCl2
_symmetry_space_group_name_H-M 'P 4/m m m'
_symmetry_Int_Tables_number 123
_symmetry_space_group_name_Hall '-P 4 2'
_cell_length_a 4.469
_cell_length_b 4.469
_cell_length_c 3.231
_cell_angle_alpha 90.00
_cell_angle_beta 90.00
_cell_angle_gamma 90.00
loop_
_atom_site_label
_atom_site_type_symbol
_atom_site_fract_x
_atom_site_fract_y
_atom_site_fract_z
Al1 Al 0.000 0.000 0.000
Cl1 Cl 0.000 0.500 0.500


Entry 10:
# AlCl3 | the Alexandria database | PBE | optimized geometry
# Fermi-level density of states = 0.0000 states/eV/atom
data_AlCl3
_symmetry_space_group_name_H-M 'I -4 2 d'
_symmetry_Int_Tables_number 122
_symmetry_space_group_name_Hall 'I -4 2bw'
_cell_length_a 8.625
_cell_length_b 8.625
_cell_length_c 4.803
_cell_angle_alpha 90.00
_cell_angle_beta 90.00
_cell_angle_gamma 90.00
loop_
_atom_site_label
_atom_site_type_symbol
_atom_site_fract_x
_atom_site_fract_y
_atom_site_fract_z
Al1 Al 0.000 0.000 0.000
Cl1 Cl 0.000 0.000 0.500
Cl2 Cl 0.105 0.250 0.125


Entry 11:
# Al3Cl | the Alexandria database | PBE | optimized geometry
# Fermi-level density of states = 0.3981 states/eV/atom
# offset from the most stable computed form = 103 meV/atom
data_Al3Cl
_symmetry_space_group_name_H-M 'P m m 2'
_symmetry_Int_Tables_number 25
_cell_length_a 2.969
_cell_length_b 5.079
_cell_length_c 4.961
_cell_angle_alpha 90.00
_cell_angle_beta 90.00
_cell_angle_gamma 90.00
loop_
_symmetry_equiv_pos_as_xyz
'x,y,z'
'-x,-y,z'
'-x,y,z'
'x,-y,z'
loop_
_atom_site_label
_atom_site_type_symbol
_atom_site_fract_x
_atom_site_fract_y
_atom_site_fract_z
Al1 Al 0.000 0.000 0.000
Al2 Al 0.000 0.500 0.473
Al3 Al 0.500 0.000 0.502
Cl1 Cl 0.500 0.500 0.001


Entry 12:
# AlCl3 | the Alexandria database | PBE | optimized geometry
# Fermi-level density of states = 0.6215 states/eV/atom
data_AlCl3
_symmetry_space_group_name_H-M 'P -3 m 1'
_symmetry_Int_Tables_number 164
_symmetry_space_group_name_Hall '-P 3 2"'
_cell_length_a 3.6644
_cell_length_b 3.6644
_cell_length_c 7.1071
_cell_angle_alpha 90.00
_cell_angle_beta 90.00
_cell_angle_gamma 120.00
loop_
_atom_site_label
_atom_site_type_symbol
_atom_site_fract_x
_atom_site_fract_y
_atom_site_fract_z
Al1 Al 0.0000 0.0000 0.0000
Cl1 Cl 0.0000 0.0000 0.5000
Cl2 Cl 0.3333 0.6667 0.8242


Number 1: formation energy without anion corrections -0.28 eV per atom. Number 2: formation energy without anion corrections -0.63 eV per atom. Number 3: formation energy without anion corrections -0.13 eV per atom. Number 4: formation energy without anion corrections -0.11 eV per atom. Number 5: formation energy without anion corrections -0.47 eV per atom. Number 6: formation energy without anion corrections -0.93 eV per atom. Number 7: formation energy without anion corrections -0.97 eV per atom. Number 8: formation energy without anion corrections -0.46 eV per atom. Number 9: formation energy without anion corrections -0.56 eV per atom. Number 10: formation energy without anion corrections -1.04 eV per atom. Number 11: formation energy without anion corrections -0.02 eV per atom. Number 12: formation energy without anion corrections -0.60 eV per atom.